Entry from Alexandria via LeMat-Bulk: CoAsW2 after structural relaxation (PBE).

Calculated values
The total energy comes out at -9.219 eV per atom. As for the space group: Cm.

Cell lengths 4.852, 4.852, 4.482 Å; angles 108.76, 108.76, 35.10 degrees
Atoms (fractional coordinates):
Co: 0.000 0.000 0.000
As: 0.712 0.712 0.310
W: 0.256 0.256 0.845
W: 0.461 0.461 0.484

=====

Entry from Alexandria via LeMat-Bulk: La12Tc3H5 after structural relaxation (PBE).

Calculated values
The total energy comes out at -5.496 eV per atom. As for the space group: Ia-3d.

Cell lengths 13.733, 13.733, 13.733 Å; angles 109.47, 109.47, 109.47 degrees
Atoms (fractional coordinates):
La: 0.034 0.220 0.123
La: 0.034 0.314 0.911
La: 0.089 0.623 0.403
La: 0.089 0.966 0.686
La: 0.097 0.720 0.686
La: 0.097 0.877 0.411
La: 0.123 0.034 0.220
La: 0.123 0.589 0.903
La: 0.186 0.220 0.597
La: 0.186 0.466 0.589
La: 0.220 0.123 0.034
La: 0.220 0.597 0.186
La: 0.280 0.314 0.903
La: 0.280 0.466 0.377
La: 0.314 0.903 0.280
La: 0.314 0.911 0.034
La: 0.377 0.280 0.466
La: 0.377 0.597 0.911
La: 0.403 0.089 0.623
La: 0.403 0.814 0.780
La: 0.411 0.097 0.877
La: 0.411 0.814 0.534
La: 0.466 0.377 0.280
La: 0.466 0.589 0.186
La: 0.534 0.411 0.814
La: 0.534 0.623 0.720
La: 0.589 0.186 0.466
La: 0.589 0.903 0.123
La: 0.597 0.186 0.220
La: 0.597 0.911 0.377
La: 0.623 0.403 0.089
La: 0.623 0.720 0.534
La: 0.686 0.089 0.966
La: 0.686 0.097 0.720
La: 0.720 0.534 0.623
La: 0.720 0.686 0.097
La: 0.780 0.403 0.814
La: 0.780 0.877 0.966
La: 0.814 0.534 0.411
La: 0.814 0.780 0.403
La: 0.877 0.411 0.097
La: 0.877 0.966 0.780
La: 0.903 0.123 0.589
La: 0.903 0.280 0.314
La: 0.911 0.034 0.314
La: 0.911 0.377 0.597
La: 0.966 0.686 0.089
La: 0.966 0.780 0.877
Tc: 0.125 0.250 0.375
Tc: 0.125 0.375 0.750
Tc: 0.250 0.375 0.125
Tc: 0.250 0.875 0.625
Tc: 0.375 0.125 0.250
Tc: 0.375 0.750 0.125
Tc: 0.625 0.250 0.875
Tc: 0.625 0.875 0.750
Tc: 0.750 0.125 0.375
Tc: 0.750 0.625 0.875
Tc: 0.875 0.625 0.250
Tc: 0.875 0.750 0.625
H: 0.000 0.000 0.000
H: 0.000 0.000 0.500
H: 0.000 0.500 0.000
H: 0.000 0.500 0.500
H: 0.125 0.750 0.875
H: 0.125 0.875 0.250
H: 0.250 0.125 0.875
H: 0.250 0.625 0.375
H: 0.375 0.250 0.625
H: 0.375 0.625 0.750
H: 0.500 0.000 0.000
H: 0.500 0.000 0.500
H: 0.500 0.500 0.000
H: 0.500 0.500 0.500
H: 0.625 0.375 0.250
H: 0.625 0.750 0.375
H: 0.750 0.375 0.625
H: 0.750 0.875 0.125
H: 0.875 0.125 0.750
H: 0.875 0.250 0.125

=====

Entry from Alexandria via LeMat-Bulk: NaAc7Pb5 after structural relaxation (PBE).

Calculated values
The total energy comes out at -4.030 eV per atom. As for the space group: Imm2.

Cell lengths 9.162, 9.162, 9.162 Å; angles 134.58, 98.77, 98.38 degrees
Atoms (fractional coordinates):
Na: 0.000 0.000 0.000
Ac: 0.126 0.448 0.678
Ac: 0.196 0.696 0.500
Ac: 0.305 0.970 0.335
Ac: 0.321 0.321 0.000
Ac: 0.635 0.970 0.665
Ac: 0.658 0.658 0.000
Ac: 0.769 0.448 0.322
Pb: 0.454 0.459 0.494
Pb: 0.454 0.960 0.995
Pb: 0.715 0.215 0.500
Pb: 0.965 0.459 0.005
Pb: 0.965 0.960 0.506

=====

Entry from Alexandria via LeMat-Bulk: K4NaNp3Te8 after structural relaxation (PBE).

Calculated values
The formation energy from raw total energies is -14.28 eV/f.u. The total energy comes out at -5.247 eV per atom. As for the space group: R-3m.

Cell lengths 9.694, 9.694, 9.694 Å; angles 56.50, 56.50, 56.50 degrees
Atoms (fractional coordinates):
K: 0.000 0.000 0.000
K: 0.000 0.500 0.500
K: 0.500 0.000 0.500
K: 0.500 0.500 0.000
Na: 0.500 0.500 0.500
Np: 0.000 0.000 0.500
Np: 0.000 0.500 0.000
Np: 0.500 0.000 0.000
Te: 0.220 0.743 0.743
Te: 0.236 0.236 0.236
Te: 0.257 0.257 0.780
Te: 0.257 0.780 0.257
Te: 0.743 0.220 0.743
Te: 0.743 0.743 0.220
Te: 0.764 0.764 0.764
Te: 0.780 0.257 0.257

=====

Entry from Alexandria via LeMat-Bulk: LaSmZnGa after structural relaxation (PBE).

Calculated values
The total energy comes out at -3.936 eV per atom. As for the space group: F-43m.

Cell lengths 5.249, 5.249, 5.249 Å; angles 60.00, 60.00, 60.00 degrees
Atoms (fractional coordinates):
La: 0.000 0.000 0.000
Sm: 0.500 0.500 0.500
Zn: 0.750 0.750 0.750
Ga: 0.250 0.250 0.250

=====

Entry from Alexandria via LeMat-Bulk: Ac7NdDy2 after structural relaxation (PBE).

Calculated values
The total energy comes out at -3.656 eV per atom. As for the space group: Cmmm.

Cell lengths 9.660, 9.660, 6.130 Å; angles 90.00, 90.00, 116.46 degrees
Atoms (fractional coordinates):
Ac: 0.000 0.000 0.000
Ac: 0.190 0.440 0.000
Ac: 0.257 0.743 0.500
Ac: 0.440 0.190 0.000
Ac: 0.560 0.810 0.000
Ac: 0.743 0.257 0.500
Ac: 0.810 0.560 0.000
Nd: 0.500 0.500 0.500
Dy: 0.201 0.799 0.000
Dy: 0.799 0.201 0.000

=====

- What is the formula in the second record?
  La12Tc3H5

=====

Repeat the fifth record exactly.
Entry from Alexandria via LeMat-Bulk: LaSmZnGa after structural relaxation (PBE).

Calculated values
The total energy comes out at -3.936 eV per atom. As for the space group: F-43m.

Cell lengths 5.249, 5.249, 5.249 Å; angles 60.00, 60.00, 60.00 degrees
Atoms (fractional coordinates):
La: 0.000 0.000 0.000
Sm: 0.500 0.500 0.500
Zn: 0.750 0.750 0.750
Ga: 0.250 0.250 0.250